# AlBrNO2

AlBrNO2 after structural relaxation (PBE, the Alexandria database).

Structure (POSCAR):
```
AlBrNO2
1.0
3.873 0.000 0.000
0.000 3.873 0.000
0.000 0.000 4.210
Al Br N O
1 1 1 2
Direct
0.000 0.000 0.000
0.500 0.500 0.500
0.500 0.500 0.000
0.000 0.500 0.500
0.500 0.000 0.500
```

calculated volume = 63.16 Å³/cell
total energy = -18.6 eV/cell
Fermi-level density of states = 1.7 states/eV/cell
raw formation energy = 98.00 kJ/mol of atoms